A relaxed Nd2TlSn crystal, computed with GGA-PBE.

For the formation energy, the calculation gives -0.3962 eV per atom. The raw total energy comes out at -4.37 eV/atom. The density of states at the Fermi level is 8.876 states/eV/cell.

The structure belongs to space group R-3m (No. 166, hexagonal axes); the cell edges are 4.0586, 4.0586 and 27.2564 Å and the angles 90.00°, 90.00° and 120.00°. The inequivalent atoms are Nd at (0.0000, 0.0000, 0.2467), Tl at (0.0000, 0.0000, 0.0000) and Sn at (0.0000, 0.0000, 0.5000).

A relaxed Nd8TlSn5 crystal, computed with GGA-PBE.

For the formation energy, the calculation gives -0.6647 eV per atom. The raw total energy comes out at -4.99 eV/atom. The density of states at the Fermi level is 20.122 states/eV/cell.

The structure belongs to space group I-4 (No. 82); the cell edges are 9.603, 9.603 and 9.635 Å and the angles 90.00°, 90.00° and 90.00°. The inequivalent atoms are Nd at (0.069, 0.323, 0.053), Nd at (0.073, 0.182, 0.692), Tl at (0.000, 0.000, 0.000), Sn at (0.000, 0.500, 0.750) and Sn at (0.126, 0.249, 0.373).

A relaxed NdTlSn2 crystal, computed with GGA-PBE.

For the formation energy, the calculation gives -0.3239 eV per atom. The raw total energy comes out at -4.11 eV/atom. The density of states at the Fermi level is 2.847 states/eV/cell.

The structure belongs to space group P4/mmm (No. 123); the cell edges are 4.248, 4.248 and 6.478 Å and the angles 90.00°, 90.00° and 90.00°. The inequivalent atoms are Nd at (0.000, 0.000, 0.000), Tl at (0.000, 0.000, 0.500) and Sn at (0.500, 0.500, 0.236).

A relaxed NdTlSn2 crystal, computed with GGA-PBE.

For the formation energy, the calculation gives -0.4550 eV per atom. The raw total energy comes out at -4.24 eV/atom. The density of states at the Fermi level is 1.393 states/eV/cell.

The structure belongs to space group P4/mmm (No. 123); the cell edges are 4.746, 4.746 and 4.892 Å and the angles 90.00°, 90.00° and 90.00°. The inequivalent atoms are Nd at (0.000, 0.000, 0.000), Tl at (0.500, 0.500, 0.000) and Sn at (0.000, 0.500, 0.500).

Theoretical density (g cm⁻³)
7.8, 7.3, 8.3, 8.8